(1)
DFT (SCAN) results for CoAuSe2N at its PBEsol-relaxed geometry.

Unit cell a=3.653 b=5.182 c=5.182 alpha=90.00 beta=90.00 gamma=90.00
Each line ends with the local moment (μB).
Positions (direct):
Co 0.500 0.500 0.500  2.54
Au 0.000 0.000 0.000  0.12
Se 0.000 0.000 0.500  0.18
Se 0.000 0.500 0.000  0.18
N 0.500 0.000 0.000  0.75

Output
The symmetry is No. 123. As for the uncorrected formation energy: 1.207 eV/atom.


(2)
DFT (SCAN) results for Nb2Co2Au at its PBEsol-relaxed geometry.

Unit cell a=3.043 b=6.863 c=6.863 alpha=90.00 beta=90.00 gamma=90.00
Positions (direct):
Co 0.000 0.372 0.872
Co 0.000 0.872 0.628
Co 0.000 0.628 0.128
Co 0.000 0.128 0.372
Nb 0.500 0.171 0.671
Nb 0.500 0.671 0.829
Nb 0.500 0.829 0.329
Nb 0.500 0.329 0.171
Au 0.000 0.000 0.000
Au 0.000 0.500 0.500

Output
The calculation puts the energy of formation at -0.14 eV per atom. The symmetry is No. 127.


(3)
DFT (SCAN) results for NbCoNiAu2 at its PBEsol-relaxed geometry.

Unit cell a=4.265 b=4.994 c=4.994 alpha=90.00 beta=90.00 gamma=90.00
Each line ends with the local moment (μB).
Positions (direct):
Ni 0.500 0.500 0.500  1.14
Nb 0.000 0.000 0.000  -0.13
Au 0.000 0.000 0.500  0.01
Au 0.000 0.500 0.000  0.01
Co 0.500 0.000 0.000  1.32

Output
The calculation puts the energy of formation at 1.52 eV per atom. The symmetry is No. 123.


| no. | total DFT energy (no corrections) (eV per atom) | density of states at the Fermi level (states/eV per cell) |
| --- | --- | --- |
| 1 | -25.975 | 2.71 |
| 2 | -34.141 | 8.17 |
| 3 | -39.467 | 4.85 |